Compound: Tl3VCr3O8
Source: Alexandria
Functional: PBE+U
Structure: optimized geometry

abc: 6.1083 6.1446 7.4308
angles: 114.45 90.00 119.80
Closest atoms and distances in Å follow each position.
Element x y z (fractional)
1 Tl 0.0000 0.0000 0.0000  6 O 2.83-2.90, 4 Tl 3.07
2 Tl 0.0000 0.5000 0.0000  6 O 2.85-2.88, 4 Tl 3.05-3.07
3 Tl 0.5000 0.5000 0.0000  6 O 2.85-2.88, 4 Tl 3.05-3.07
4 V 0.0000 0.0000 0.5000  6 O 1.98-2.01
5 Cr 0.5000 0.0000 0.5000  6 O 2.03-2.08
6 Cr 0.5000 0.5000 0.5000  6 O 2.03-2.07
7 Cr 0.0000 0.5000 0.5000  6 O 2.03-2.07
8 O 0.2837 0.5674 0.3483  3 Cr 2.03
9 O 0.7163 0.4326 0.6517  3 Cr 2.03
10 O 0.7861 0.5723 0.3450  1 V 2.01, 2 Cr 2.06
11 O 0.2139 0.4277 0.6550  1 V 2.01, 2 Cr 2.06
12 O 0.7895 0.0584 0.3443  1 V 1.98, 2 Cr 2.07-2.08
13 O 0.2105 0.9416 0.6557  1 V 1.98, 2 Cr 2.07-2.08
14 O 0.2689 0.0584 0.3443  1 V 1.98, 2 Cr 2.07-2.08
15 O 0.7311 0.9416 0.6557  1 V 1.98, 2 Cr 2.07-2.08

V   14.181 A^3/atom
Space group   C2/m, No. 12
E_tot   -6.63 eV/atom
Spin magnetization   9.96 μB per cell